This record from Alexandria describes an optimized crystal structure of ThBe2Cu9. The functional is PBE-GGA.

abc: 9.915 9.915 6.401
angles: 90.00 90.00 90.00
Space group I4_1/amd (No. 141, origin choice 2)
One atom of each set of equivalent atoms:
Th  0.000  0.250  0.375 [4 per cell]
Be  0.000  0.000  0.000 [8 per cell]
Cu  0.000  0.250  0.875 [4 per cell]
Cu  0.123  0.046  0.694 [32 per cell]

Calculated values
V in Å³/f.u.: 157.3
ρ in g cm⁻³: 8.7
Formation enthalpy at 0 K in eV per atom: -0.102

This record from Alexandria describes an optimized crystal structure of AgRuSe2Br. The functional is PBE-GGA.

abc: 4.777 4.777 5.463
angles: 90.00 90.00 90.00
Space group P4/mmm (No. 123)
One atom of each set of equivalent atoms:
Ag  0.000  0.000  0.000 [1 per cell]
Ru  0.500  0.500  0.500 [1 per cell]
Se  0.000  0.500  0.500 [2 per cell]
Br  0.500  0.500  0.000 [1 per cell]

Calculated values
V in Å³/f.u.: 124.7
Formation energy from raw total energies in kJ/mol of formula units: 173
Distance to the lowest polymorph of the same formula in meV/atom: 0
ρ in g cm⁻³: 6.0

This record from Alexandria describes an optimized crystal structure of Sb2AsRu. The functional is PBE-GGA.

abc: 4.498 5.149 7.697
angles: 90.00 90.00 90.00
Space group Amm2 (No. 38)
One atom of each set of equivalent atoms:
Sb  0.000  0.000  0.000 [2 per cell]
Sb  0.500  0.000  0.395 [2 per cell]
As  0.000  0.000  0.636 [2 per cell]
Ru  0.500  0.000  0.790 [2 per cell]

Calculated values
V in Å³/f.u.: 89.1
Formation energy from raw total energies in kJ/mol of formula units: 26
ρ in g cm⁻³: 7.8

This record from Alexandria describes an optimized crystal structure of Y2Zn2Au. The functional is PBE-GGA.

abc: 3.634 3.634 17.537
angles: 90.00 90.00 90.00
Space group I4/mmm (No. 139)
One atom of each set of equivalent atoms:
Y  0.000  0.000  0.100 [4 per cell]
Zn  0.000  0.500  0.250 [4 per cell]
Au  0.000  0.000  0.500 [2 per cell]

Calculated values
V in Å³/f.u.: 115.8
Distance to the lowest polymorph of the same formula in meV/atom: 193
ρ in g cm⁻³: 7.3
Formation enthalpy at 0 K in eV per atom: -0.326

This record from Alexandria describes an optimized crystal structure of RbAlCrTe4. The functional is PBE-GGA.

abc: 7.016 7.461 9.302
angles: 90.00 93.75 90.00
Space group P2_1/m (No. 11)
One atom of each set of equivalent atoms:
Rb  0.233  0.250  0.050 [2 per cell]
Al  0.347  0.250  0.645 [2 per cell]
Cr  0.163  0.750  0.461 [2 per cell]
Te  0.082  0.502  0.677 [4 per cell]
Te  0.336  0.750  0.194 [2 per cell]
Te  0.492  0.250  0.397 [2 per cell]

Calculated values
V in Å³/f.u.: 242.9
Formation energy from raw total energies in kJ/mol of formula units: -260
ρ in g cm⁻³: 4.6

This record from Alexandria describes an optimized crystal structure of NbVFe2Ir. The functional is PBE-GGA.

abc: 4.404 4.404 4.510
angles: 90.00 90.00 90.00
Space group P4/mmm (No. 123)
One atom of each set of equivalent atoms:
Nb  0.000  0.000  0.000 [1 per cell]
V  0.500  0.500  0.000 [1 per cell]
Fe  0.000  0.500  0.500 [2 per cell]
Ir  0.500  0.500  0.500 [1 per cell]

Calculated values
V in Å³/f.u.: 87.5
ρ in g cm⁻³: 8.5
Formation enthalpy at 0 K in eV per atom: 1.361

This record from Alexandria describes an optimized crystal structure of Fe2Rh. The functional is PBE-GGA.

abc: 2.620 3.970 7.431
angles: 90.00 96.69 90.00
Space group P2_1/m (No. 11)
One atom of each set of equivalent atoms:
Fe  0.081  0.250  0.240 [2 per cell]
Fe  0.344  0.750  0.073 [2 per cell]
Rh  0.283  0.250  0.596 [2 per cell]

Calculated values
V in Å³/f.u.: 38.4
ρ in g cm⁻³: 9.3
Formation enthalpy at 0 K in eV per atom: 0.033

This record from Alexandria describes an optimized crystal structure of TlAsP. The functional is PBE-GGA.

abc: 3.4672 3.4672 7.1702
angles: 90.00 90.00 120.00
Space group P3m1 (No. 156)
One atom of each set of equivalent atoms:
Tl  0.0000  0.0000  0.0000 [1 per cell]
As  0.3333  0.6667  0.4234 [1 per cell]
P  0.6667  0.3333  0.6098 [1 per cell]

Calculated values
V in Å³/f.u.: 74.6
Distance to the lowest polymorph of the same formula in meV/atom: 0
ρ in g cm⁻³: 6.9
Formation enthalpy at 0 K in eV per atom: 0.058

> Which value of V does entry 7 give?

38.4 Å³/f.u.